Entry 1:
Below is an optimized crystal structure of Al3ZnCd, with properties calculated at the PBE level.

Cell: 4.815 4.815 4.815 Å, 90.00 90.00 90.00°
Element x y z (fractional)
Zn: 0.000 0.000 0.000
Al: 0.000 0.500 0.000
Al: 0.000 0.000 0.500
Al: 0.500 0.000 0.000
Cd: 0.500 0.500 0.500

The calculation puts the volume at 22.331 Å³ per atom. For the density of states at the Fermi level, the calculation gives 0.47 states/eV/atom. As for the formation energy: 2.35 eV per formula unit. The calculation puts the excess energy over the best structure of this formula in the dataset at 0.000 eV per atom. Its crystal system is cubic.

Entry 2:
Below is an optimized crystal structure of ZrAl2Cd, with properties calculated at the PBE level.

Cell: 5.669 5.669 2.921 Å, 77.25 77.25 114.77°
Element x y z (fractional)
Al: 0.000 0.000 0.000
Al: 0.500 0.500 0.000
Zr: 0.000 0.500 0.500
Cd: 0.500 0.000 0.500

The calculation puts the volume at 19.444 Å³ per atom. For the density of states at the Fermi level, the calculation gives 0.35 states/eV/atom. As for the formation energy: -0.46 eV per formula unit. Its crystal system is monoclinic.

Question: Which value of formation energy does entry 1 give?
Answer: 2.35 eV per formula unit

Question: Look up the formation energy of the first one.
Answer: 2.35 eV per formula unit

Question: Which value of formation energy does entry 1 give?
Answer: 2.35 eV per formula unit